## Ca2Si3IrPt4 (PBE-GGA)

Data for crystalline Ca2Si3IrPt4 at its relaxed geometry.

```
Ca2Si3IrPt4
1.0
-1.0833 -3.2469 2.3642
-1.9885 -1.6940 -3.2375
8.7164 -4.9286 -2.7748
Ca Si Pt Ir
2 3 4 1
direct
0.5000 0.0000 0.2527
0.0000 0.5000 0.7473
0.5000 0.0000 0.8714
0.0000 0.5000 0.1286
0.0000 0.0000 0.5000
0.0000 0.5000 0.3520
0.5000 0.0000 0.6480
0.5000 0.5000 0.0000
0.0000 0.0000 0.0000
0.5000 0.5000 0.5000
```

Summary:
For the raw total energy, the calculation gives -6.100 eV per atom. As for the total moment: 0.0 μB/f.u. As for the symmetry: P-4m2. For the energy relative to the elements, uncorrected, the calculation gives -74.3 kJ/mol of atoms.

---

## CaSi3IrPt (PBE-GGA)

Data for crystalline CaSi3IrPt at its relaxed geometry.

```
CaSi3IrPt
1.0
5.7416 0.0000 0.0000
0.0000 6.2969 0.0000
0.0000 -3.1485 6.7493
Ca Pt Si Ir
2 2 6 2
direct
0.2500 0.6930 0.3859
0.7500 0.3070 0.6141
0.7500 0.5635 0.1270
0.2500 0.4365 0.8730
0.5000 0.7897 0.0000
0.0000 0.2103 0.0000
0.7500 0.7317 0.4635
0.0000 0.7897 0.0000
0.2500 0.2683 0.5365
0.5000 0.2103 0.0000
0.7500 0.8965 0.7931
0.2500 0.1035 0.2069
```

Summary:
For the raw total energy, the calculation gives -6.077 eV per atom. As for the total moment: 0.0 μB/f.u. As for the symmetry: Cmcm. For the energy relative to the elements, uncorrected, the calculation gives -52.9 kJ/mol of atoms.

---

## CaSmIrPt (PBE-GGA)

Data for crystalline CaSmIrPt at its relaxed geometry.

```
CaSmIrPt
1.0
4.9401 0.0000 0.0000
2.4700 4.2782 0.0000
2.4700 1.4261 4.0335
Ir Ca Pt Sm
1 1 1 1
direct
0.2500 0.2500 0.2500
0.5000 0.5000 0.5000
0.7500 0.7500 0.7500
0.0000 0.0000 0.0000
```

Summary:
For the raw total energy, the calculation gives -6.121 eV per atom. As for the total moment: 0.0 μB/f.u. As for the symmetry: F-43m.

---

## Ca2Sn4IrPt3 (PBE-GGA)

Data for crystalline Ca2Sn4IrPt3 at its relaxed geometry.

```
Ca2Sn4IrPt3
1.0
4.3731 0.0000 0.0000
0.0000 4.3731 0.0000
0.0000 0.0000 11.6177
Pt Ca Sn Ir
3 2 4 1
direct
0.0000 0.5000 0.1417
0.0000 0.0000 0.5000
0.5000 0.0000 0.8583
0.5000 0.0000 0.2525
0.0000 0.5000 0.7475
0.0000 0.5000 0.3673
0.5000 0.0000 0.6327
0.5000 0.5000 0.0000
0.0000 0.0000 0.0000
0.5000 0.5000 0.5000
```

Summary:
For the raw total energy, the calculation gives -5.369 eV per atom. As for the total moment: 0.0 μB/f.u. As for the symmetry: P-4m2.

---

## Ca2Sn4Ir3Pt (PBE-GGA)

Data for crystalline Ca2Sn4Ir3Pt at its relaxed geometry.

```
Ca2Sn4Ir3Pt
1.0
-0.0307 -4.3962 0.2676
1.5248 0.2404 4.1250
-10.6404 0.3127 3.9149
Sn Ca Ir Pt
4 2 3 1
direct
0.0000 0.5000 0.3652
0.5000 0.0000 0.6348
0.5000 0.5000 0.0000
0.0000 0.0000 0.0000
0.0000 0.5000 0.7496
0.5000 0.0000 0.2504
0.0000 0.0000 0.5000
0.5000 0.0000 0.8658
0.0000 0.5000 0.1342
0.5000 0.5000 0.5000
```

Summary:
For the raw total energy, the calculation gives -5.762 eV per atom. As for the total moment: 0.0 μB/f.u. As for the symmetry: P-4m2.

---

## CaTbIrPt (PBE-GGA)

Data for crystalline CaTbIrPt at its relaxed geometry.

```
CaTbIrPt
1.0
4.8904 0.0000 0.0000
2.4452 4.2352 0.0000
2.4452 1.4117 3.9930
Pt Ir Ca Tb
1 1 1 1
direct
0.7500 0.7500 0.7500
0.2500 0.2500 0.2500
0.0000 0.0000 0.0000
0.5000 0.5000 0.5000
```

Summary:
For the raw total energy, the calculation gives -6.151 eV per atom. As for the total moment: 0.0 μB/f.u. As for the symmetry: F-43m.